one | Below is a geometry-optimized Li2CrP2O7 structure, with properties calculated at the PBE with a Hubbard U level.

Lattice parameters (Å, degrees): 15.584 5.056 8.963 90.00 115.58 90.00
Space group C2/c (No. 15)
Unique sites:
1 Li 0.191 0.147 0.053
2 Cr 0.000 0.000 0.000
3 P 0.103 0.361 0.317
4 O 0.000 0.486 0.750
5 O 0.102 0.150 0.440
6 O 0.107 0.231 0.164
7 O 0.178 0.427 0.892

Magnetization ... 16.00 Bohr magnetons per cell
DOS(E_F) ... 0.00 states/eV/f.u.

=====

two | Below is a geometry-optimized Li2CrP2O7 structure, with properties calculated at the PBE with a Hubbard U level.

Lattice parameters (Å, degrees): 5.0903 5.0903 20.6001 90.00 90.00 120.00
Space group R32 (No. 155, hexagonal axes)
Unique sites:
1 Li 0.0000 0.0000 0.2436
2 Cr 0.0000 0.0000 0.5000
3 P 0.0000 0.0000 0.0776
4 O 0.0000 0.0000 0.0000
5 O 0.0234 0.3003 0.0984

Magnetization ... 12.00 Bohr magnetons per cell
DOS(E_F) ... 6.36 states/eV/f.u.

=====

Verdict on stability: two comes out at the bottom.

=====

one | Below is a geometry-optimized LiCrS2O8 structure, with properties calculated at the PBE with a Hubbard U level.

Lattice parameters (Å, degrees): 8.334 8.335 8.928 90.09 117.59 119.93
Space group P1 (No. 1)
Unique sites:
1 Li 0.000 0.000 0.000
2 Li 0.082 0.918 0.687
3 Li 0.308 0.753 0.001
4 Cr 0.066 0.412 0.179
5 Cr 0.660 0.211 0.562
6 Cr 0.684 0.718 0.099
7 S 0.166 0.322 0.882
8 S 0.169 0.109 0.382
9 S 0.579 0.818 0.383
10 S 0.592 0.024 0.886
11 S 0.862 0.599 0.883
12 S 0.871 0.523 0.386
13 O 0.008 0.924 0.222
14 O 0.017 0.542 0.326
15 O 0.045 0.581 0.019
16 O 0.100 0.245 0.337
17 O 0.110 0.279 0.025
18 O 0.177 0.067 0.540
19 O 0.229 0.195 0.862
20 O 0.345 0.534 0.942
21 O 0.381 0.192 0.394
22 O 0.381 0.928 0.870
23 O 0.393 0.614 0.331
24 O 0.511 0.950 0.397
25 O 0.573 0.050 0.716
26 O 0.609 0.844 0.225
27 O 0.681 0.898 0.935
28 O 0.697 0.546 0.248
29 O 0.714 0.570 0.943
30 O 0.732 0.449 0.712
31 O 0.746 0.214 0.028
32 O 0.748 0.319 0.392
33 O 0.775 0.862 0.542
34 O 0.974 0.291 0.718
35 O 0.977 0.795 0.870
36 O 0.999 0.664 0.557

Magnetization ... 8.97 Bohr magnetons per cell
DOS(E_F) ... 0.00 states/eV/f.u.

=====

two | Below is a geometry-optimized LiCrS2O8 structure, with properties calculated at the PBE with a Hubbard U level.

Lattice parameters (Å, degrees): 6.624 6.624 5.768 90.00 90.00 90.00
Space group I-4m2 (No. 119)
Unique sites:
1 Li 0.000 0.000 0.000
2 Cr 0.000 0.500 0.750
3 S 0.000 0.000 0.500
4 S 0.000 0.500 0.250
5 O 0.000 0.178 0.658
6 O 0.000 0.324 0.090

Magnetization ... 6.00 Bohr magnetons per cell
DOS(E_F) ... 4.73 states/eV/f.u.

=====

Verdict on stability: two comes out at the bottom.

=====

one | Below is a geometry-optimized LiCrSiO4 structure, with properties calculated at the PBE with a Hubbard U level.

Lattice parameters (Å, degrees): 10.193 5.778 4.775 90.00 90.00 90.00
Space group Pnma (No. 62)
Unique sites:
1 Li 0.000 0.000 0.000
2 Cr 0.231 0.250 0.497
3 Si 0.092 0.750 0.439
4 O 0.057 0.250 0.689
5 O 0.100 0.750 0.777
6 O 0.171 0.532 0.277

Magnetization ... 12.00 Bohr magnetons per cell
DOS(E_F) ... 0.00 states/eV/f.u.

=====

two | Below is a geometry-optimized LiCrSiO4 structure, with properties calculated at the PBE with a Hubbard U level.

Lattice parameters (Å, degrees): 10.288 6.157 4.737 90.00 90.00 90.00
Space group Pnma (No. 62)
Unique sites:
1 Li 0.216 0.250 0.018
2 Cr 0.000 0.000 0.500
3 Si 0.090 0.750 0.080
4 O 0.057 0.250 0.749
5 O 0.081 0.750 0.733
6 O 0.149 0.528 0.220

Magnetization ... 12.00 Bohr magnetons per cell
DOS(E_F) ... 0.00 states/eV/f.u.

=====

Verdict on stability: two comes out at the bottom.

=====

one | Below is a geometry-optimized LiCrSiO4 structure, with properties calculated at the PBE with a Hubbard U level.

Lattice parameters (Å, degrees): 5.557 5.879 7.958 90.00 90.00 90.00
Space group Imma (No. 74)
Unique sites:
1 Li 0.250 0.250 0.250
2 Cr 0.000 0.000 0.000
3 Si 0.000 0.250 0.636
4 O 0.000 0.016 0.748
5 O 0.245 0.250 0.507

Magnetization ... 12.00 Bohr magnetons per cell
DOS(E_F) ... 0.00 states/eV/f.u.

=====

two | Below is a geometry-optimized LiCrSiO4 structure, with properties calculated at the PBE with a Hubbard U level.

Lattice parameters (Å, degrees): 5.549 5.930 8.186 90.00 90.00 90.00
Space group Imma (No. 74)
Unique sites:
1 Li 0.000 0.250 0.120
2 Cr 0.000 0.000 0.500
3 Si 0.250 0.250 0.750
4 O 0.000 0.043 0.746
5 O 0.238 0.250 0.533

Magnetization ... 12.00 Bohr magnetons per cell
DOS(E_F) ... 0.00 states/eV/f.u.

=====

Verdict on stability: one comes out at the bottom.

=====

one | Below is a geometry-optimized Li3Cr3SiO8 structure, with properties calculated at the PBE with a Hubbard U level.

Lattice parameters (Å, degrees): 5.8389 5.8389 14.6121 90.00 90.00 120.00
Space group R-3m (No. 166, hexagonal axes)
Unique sites:
1 Li 0.0000 0.5000 0.0000
2 Cr 0.0000 0.5000 0.5000
3 Si 0.0000 0.0000 0.5000
4 O 0.0000 0.0000 0.2412
5 O 0.0332 0.5166 0.2356

Magnetization ... 27.00 Bohr magnetons per cell
DOS(E_F) ... 0.00 states/eV/f.u.

=====

two | Below is a geometry-optimized Li3Cr3SiO8 structure, with properties calculated at the PBE with a Hubbard U level.

Lattice parameters (Å, degrees): 5.048 5.822 5.134 90.00 107.97 90.00
Space group P2/m (No. 10)
Unique sites:
1 Li 0.000 0.000 0.000
2 Li 0.500 0.265 0.000
3 Cr 0.000 0.255 0.500
4 Cr 0.500 0.000 0.500
5 Si 0.500 0.500 0.500
6 O 0.232 0.000 0.726
7 O 0.270 0.500 0.705
8 O 0.283 0.267 0.293

Magnetization ... 9.00 Bohr magnetons per cell
DOS(E_F) ... 0.00 states/eV/f.u.

=====

Verdict on stability: two comes out at the bottom.

=====

one | Below is a geometry-optimized LiCrSi2O6 structure, with properties calculated at the PBE with a Hubbard U level.

Lattice parameters (Å, degrees): 5.315 18.169 8.752 90.00 90.00 90.00
Space group Pbca (No. 61)
Unique sites:
1 Li 0.109 0.125 0.008
2 Cr 0.111 0.125 0.655
3 Si 0.062 0.725 0.160
4 Si 0.217 0.025 0.339
5 O 0.056 0.691 0.991
6 O 0.062 0.552 0.220
7 O 0.063 0.684 0.667
8 O 0.169 0.196 0.231
9 O 0.215 0.566 0.834
10 O 0.221 0.563 0.502

Magnetization ... 24.00 Bohr magnetons per cell
DOS(E_F) ... 0.00 states/eV/f.u.

=====

two | Below is a geometry-optimized LiCrSi2O6 structure, with properties calculated at the PBE with a Hubbard U level.

Lattice parameters (Å, degrees): 7.055 7.370 7.373 80.72 62.05 78.91
Space group P-1 (No. 2)
Unique sites:
1 Li 0.000 0.000 0.000
2 Li 0.116 0.261 0.259
3 Cr 0.457 0.721 0.748
4 Cr 0.500 0.000 0.000
5 Si 0.186 0.658 0.245
6 Si 0.255 0.329 0.792
7 Si 0.302 0.884 0.475
8 O 0.046 0.323 0.755
9 O 0.138 0.773 0.445
10 O 0.218 0.912 0.714
11 O 0.251 0.171 0.976
12 O 0.270 0.534 0.824
13 O 0.279 0.444 0.271
14 O 0.347 0.780 0.041
15 O 0.359 0.062 0.301
16 O 0.468 0.261 0.568

Magnetization ... 9.00 Bohr magnetons per cell
DOS(E_F) ... 0.00 states/eV/f.u.

=====

Verdict on stability: two comes out at the bottom.